(1)
First-principles (PBE) data for an optimized crystal structure of Dy2TmCdHg4, as listed in the Alexandria database.

abc: 5.1312 5.1312 25.7736
angles: 90.00 90.00 120.00
Space group R-3m (No. 166, hexagonal axes)
Asymmetric unit:
Dy1 0.0000 0.0000 0.2432
Tm1 0.0000 0.0000 0.0000
Cd1 0.0000 0.0000 0.5000
Hg1 0.0000 0.0000 0.1218
Hg2 0.0000 0.0000 0.3688


(2)
First-principles (PBE) data for an optimized crystal structure of DyTmCdHg, as listed in the Alexandria database.

abc: 7.414 7.414 7.414
angles: 90.00 90.00 90.00
Space group F-43m (No. 216)
Asymmetric unit:
Dy1 0.000 0.000 0.000
Tm1 0.000 0.000 0.500
Cd1 0.250 0.250 0.750
Hg1 0.250 0.250 0.250


(3)
First-principles (PBE) data for an optimized crystal structure of DyZrCdHg, as listed in the Alexandria database.

abc: 7.250 7.250 7.250
angles: 90.00 90.00 90.00
Space group F-43m (No. 216)
Asymmetric unit:
Dy1 0.000 0.000 0.000
Zr1 0.000 0.000 0.500
Cd1 0.250 0.250 0.750
Hg1 0.250 0.250 0.250


(4)
First-principles (PBE) data for an optimized crystal structure of DyHo3Cd2, as listed in the Alexandria database.

abc: 3.608 3.608 12.844
angles: 90.00 90.00 90.00
Space group P4/mmm (No. 123)
Asymmetric unit:
Dy1 0.000 0.000 0.000
Ho1 0.500 0.500 0.191
Ho2 0.500 0.500 0.500
Cd1 0.000 0.000 0.348


(5)
First-principles (PBE) data for an optimized crystal structure of Dy3Ho5Cd, as listed in the Alexandria database.

abc: 11.900 11.254 10.018
angles: 90.00 108.50 90.00
Space group C2/m (No. 12)
Asymmetric unit:
Dy1 0.000 0.000 0.000
Dy2 0.000 0.500 0.500
Dy3 0.002 0.000 0.673
Dy4 0.005 0.500 0.183
Ho1 0.000 0.263 0.000
Ho2 0.186 0.259 0.788
Ho3 0.239 0.500 0.054
Ho4 0.248 0.000 0.590
Cd1 0.235 0.000 0.266


(6)
First-principles (PBE) data for an optimized crystal structure of Dy6Ho3Cd, as listed in the Alexandria database.

abc: 9.537 13.976 9.214
angles: 90.00 90.00 90.00
Space group Cmc2_1 (No. 36)
Asymmetric unit:
Dy1 0.000 0.068 0.000
Dy2 0.000 0.303 0.881
Dy3 0.176 0.349 0.474
Dy4 0.202 0.080 0.315
Ho1 0.000 0.474 0.164
Ho2 0.178 0.144 0.661
Cd1 0.000 0.250 0.215


(7)
First-principles (PBE) data for an optimized crystal structure of Dy12Ho6Cd, as listed in the Alexandria database.

abc: 11.7883 11.7883 14.8781
angles: 90.00 90.00 120.00
Space group R-3 (No. 148, hexagonal axes)
Asymmetric unit:
Dy1 0.0070 0.1779 0.3141
Dy2 0.0467 0.8498 0.9153
Ho1 0.0210 0.4288 0.1897
Cd1 0.0000 0.0000 0.5000


(8)
First-principles (PBE) data for an optimized crystal structure of DyHo4Cd, as listed in the Alexandria database.

abc: 7.443 7.443 7.362
angles: 90.00 90.08 90.00
Space group C2/m (No. 12)
Asymmetric unit:
Dy1 0.000 0.000 0.000
Ho1 0.250 0.250 0.259
Cd1 0.000 0.500 0.500


(9)
First-principles (PBE) data for an optimized crystal structure of Dy3Ho4Cd, as listed in the Alexandria database.

abc: 3.539 3.539 19.111
angles: 90.00 90.00 90.00
Space group P4/mmm (No. 123)
Asymmetric unit:
Dy1 0.000 0.000 0.000
Dy2 0.000 0.000 0.261
Ho1 0.500 0.500 0.131
Ho2 0.500 0.500 0.391
Cd1 0.000 0.000 0.500


(10)
First-principles (PBE) data for an optimized crystal structure of DyHo2Cd, as listed in the Alexandria database.

abc: 3.5482 3.5482 32.2617
angles: 90.00 90.00 120.00
Space group R-3m (No. 166, hexagonal axes)
Asymmetric unit:
Dy1 0.0000 0.0000 0.0000
Ho1 0.0000 0.0000 0.2447
Cd1 0.0000 0.0000 0.5000


(11)
First-principles (PBE) data for an optimized crystal structure of Dy6Ho3Cd, as listed in the Alexandria database.

abc: 10.935 4.982 11.129
angles: 90.00 91.33 90.00
Space group P2_1/m (No. 11)
Asymmetric unit:
Dy1 0.047 0.250 0.397
Dy2 0.139 0.750 0.186
Dy3 0.152 0.250 0.692
Dy4 0.237 0.250 0.995
Dy5 0.347 0.750 0.799
Dy6 0.449 0.250 0.602
Ho1 0.248 0.750 0.493
Ho2 0.347 0.250 0.293
Ho3 0.448 0.750 0.099
Cd1 0.052 0.750 0.894


(12)
First-principles (PBE) data for an optimized crystal structure of DyHo3Cd6, as listed in the Alexandria database.

abc: 9.154 5.142 11.008
angles: 90.00 105.55 90.00
Space group P2_1/m (No. 11)
Asymmetric unit:
Dy1 0.056 0.250 0.392
Ho1 0.240 0.250 0.998
Ho2 0.351 0.750 0.794
Ho3 0.471 0.250 0.606
Cd1 0.052 0.750 0.900
Cd2 0.143 0.750 0.195
Cd3 0.152 0.250 0.693
Cd4 0.241 0.750 0.499
Cd5 0.342 0.250 0.292
Cd6 0.450 0.750 0.095


| no. | magnetization (μB/cell) | energy of formation (eV/atom) |
| --- | --- | --- |
| 1 | 0.0 | -0.4368 |
| 2 | 0.0 | -0.3930 |
| 3 | 3.2 | -0.1902 |
| 4 | 0.0 | -0.1939 |
| 5 | 0.0 | 0.4178 |
| 6 | 0.0 | 0.0797 |
| 7 | 0.0 | 0.1076 |
| 8 | 0.0 | 0.4276 |
| 9 | 0.0 | -0.0632 |
| 10 | 0.0 | -0.0733 |
| 11 | 0.0 | -0.0179 |
| 12 | 0.0 | -0.2858 |